[1]
The following is a PBE calculation of SrLiTl4Pd2 after structural relaxation, from the Open Quantum Materials Database.

```
data_SrLiTl4Pd2
_cell_length_a 8.398
_cell_length_b 4.404
_cell_length_c 10.791
_cell_angle_alpha 90.00
_cell_angle_beta 90.00
_cell_angle_gamma 90.00
_space_group_name_H-M_alt 'P 1'
_space_group_IT_number 1
loop_
_space_group_symop_operation_xyz
'x,y,z'
loop_
_atom_site_label
_atom_site_type_symbol
_atom_site_fract_x
_atom_site_fract_y
_atom_site_fract_z
_atom_site_occupancy
Sr1 Sr 0.000 0.000 0.000 1
Sr2 Sr 0.000 0.500 0.500 1
Li1 Li 0.500 0.000 0.133 1
Li2 Li 0.500 0.500 0.633 1
Tl1 Tl 0.213 0.000 0.706 1
Tl2 Tl 0.213 0.500 0.206 1
Tl3 Tl 0.309 0.000 0.422 1
Tl4 Tl 0.309 0.500 0.922 1
Tl5 Tl 0.691 0.000 0.422 1
Tl6 Tl 0.691 0.500 0.922 1
Tl7 Tl 0.787 0.000 0.706 1
Tl8 Tl 0.787 0.500 0.206 1
Pd1 Pd 0.000 0.000 0.286 1
Pd2 Pd 0.000 0.500 0.786 1
Pd3 Pd 0.500 0.000 0.850 1
Pd4 Pd 0.500 0.500 0.350 1
```

Properties
symmetry: No. 38
electronic total energy: -3.227 eV per atom


[2]
The following is a PBE calculation of Li2Ta2Pd3 after structural relaxation, from the Open Quantum Materials Database.

```
data_Li2Ta2Pd3
_cell_length_a 7.459
_cell_length_b 7.459
_cell_length_c 7.459
_cell_angle_alpha 33.85
_cell_angle_beta 33.85
_cell_angle_gamma 33.85
_space_group_name_H-M_alt 'P 1'
_space_group_IT_number 1
loop_
_space_group_symop_operation_xyz
'x,y,z'
loop_
_atom_site_label
_atom_site_type_symbol
_atom_site_fract_x
_atom_site_fract_y
_atom_site_fract_z
_atom_site_occupancy
Li1 Li 0.000 0.000 0.000 1
Li2 Li 0.491 0.491 0.491 1
Ta1 Ta 0.239 0.239 0.239 1
Ta2 Ta 0.748 0.748 0.748 1
Pd1 Pd 0.368 0.368 0.368 1
Pd2 Pd 0.620 0.620 0.620 1
Pd3 Pd 0.871 0.871 0.871 1
```

Properties
symmetry: No. 160
electronic total energy: -6.192 eV per atom


[3]
The following is a PBE calculation of LiTbTe3Pd after structural relaxation, from the Open Quantum Materials Database.

```
data_LiTbTe3Pd
_cell_length_a 8.038
_cell_length_b 8.038
_cell_length_c 10.070
_cell_angle_alpha 90.00
_cell_angle_beta 90.00
_cell_angle_gamma 149.49
_space_group_name_H-M_alt 'P 1'
_space_group_IT_number 1
loop_
_space_group_symop_operation_xyz
'x,y,z'
loop_
_atom_site_label
_atom_site_type_symbol
_atom_site_fract_x
_atom_site_fract_y
_atom_site_fract_z
_atom_site_occupancy
Li1 Li 0.234 0.766 0.750 1
Li2 Li 0.766 0.234 0.250 1
Tb1 Tb 0.000 0.000 0.000 1
Tb2 Tb 0.000 0.000 0.500 1
Te1 Te 0.116 0.884 0.250 1
Te2 Te 0.365 0.635 0.091 1
Te3 Te 0.365 0.635 0.409 1
Te4 Te 0.635 0.365 0.591 1
Te5 Te 0.635 0.365 0.909 1
Te6 Te 0.884 0.116 0.750 1
Pd1 Pd 0.497 0.503 0.750 1
Pd2 Pd 0.503 0.497 0.250 1
```

Properties
symmetry: No. 63
electronic total energy: -4.403 eV per atom


[4]
The following is a PBE calculation of LiTcPd after structural relaxation, from the Open Quantum Materials Database.

```
data_LiTcPd
_cell_length_a 5.834
_cell_length_b 5.834
_cell_length_c 5.834
_cell_angle_alpha 90.00
_cell_angle_beta 90.00
_cell_angle_gamma 90.00
_space_group_name_H-M_alt 'P 1'
_space_group_IT_number 1
loop_
_space_group_symop_operation_xyz
'x,y,z'
loop_
_atom_site_label
_atom_site_type_symbol
_atom_site_fract_x
_atom_site_fract_y
_atom_site_fract_z
_atom_site_occupancy
Li1 Li 0.000 0.000 0.000 1
Li2 Li 0.000 0.500 0.500 1
Li3 Li 0.500 0.000 0.500 1
Li4 Li 0.500 0.500 0.000 1
Tc1 Tc 0.250 0.250 0.250 1
Tc2 Tc 0.250 0.750 0.750 1
Tc3 Tc 0.750 0.250 0.750 1
Tc4 Tc 0.750 0.750 0.250 1
Pd1 Pd 0.000 0.000 0.500 1
Pd2 Pd 0.000 0.500 0.000 1
Pd3 Pd 0.500 0.000 0.000 1
Pd4 Pd 0.500 0.500 0.500 1
```

Properties
symmetry: No. 216
electronic total energy: -5.045 eV per atom


[5]
The following is a PBE calculation of Li2TcPd after structural relaxation, from the Open Quantum Materials Database.

```
data_Li2TcPd
_cell_length_a 6.049
_cell_length_b 6.049
_cell_length_c 6.049
_cell_angle_alpha 90.00
_cell_angle_beta 90.00
_cell_angle_gamma 90.00
_space_group_name_H-M_alt 'P 1'
_space_group_IT_number 1
loop_
_space_group_symop_operation_xyz
'x,y,z'
loop_
_atom_site_label
_atom_site_type_symbol
_atom_site_fract_x
_atom_site_fract_y
_atom_site_fract_z
_atom_site_occupancy
Li1 Li 0.000 0.000 0.000 1
Li2 Li 0.000 0.500 0.500 1
Li3 Li 0.250 0.250 0.250 1
Li4 Li 0.250 0.750 0.750 1
Li5 Li 0.500 0.000 0.500 1
Li6 Li 0.500 0.500 0.000 1
Li7 Li 0.750 0.250 0.750 1
Li8 Li 0.750 0.750 0.250 1
Tc1 Tc 0.000 0.000 0.500 1
Tc2 Tc 0.000 0.500 0.000 1
Tc3 Tc 0.500 0.000 0.000 1
Tc4 Tc 0.500 0.500 0.500 1
Pd1 Pd 0.250 0.250 0.750 1
Pd2 Pd 0.250 0.750 0.250 1
Pd3 Pd 0.750 0.250 0.250 1
Pd4 Pd 0.750 0.750 0.750 1
```

Properties
symmetry: No. 216
electronic total energy: -4.625 eV per atom


[6]
The following is a PBE calculation of LiTePd after structural relaxation, from the Open Quantum Materials Database.

```
data_LiTePd
_cell_length_a 6.225
_cell_length_b 6.225
_cell_length_c 6.225
_cell_angle_alpha 90.00
_cell_angle_beta 90.00
_cell_angle_gamma 90.00
_space_group_name_H-M_alt 'P 1'
_space_group_IT_number 1
loop_
_space_group_symop_operation_xyz
'x,y,z'
loop_
_atom_site_label
_atom_site_type_symbol
_atom_site_fract_x
_atom_site_fract_y
_atom_site_fract_z
_atom_site_occupancy
Li1 Li 0.000 0.000 0.000 1
Li2 Li 0.000 0.500 0.500 1
Li3 Li 0.500 0.000 0.500 1
Li4 Li 0.500 0.500 0.000 1
Te1 Te 0.000 0.000 0.500 1
Te2 Te 0.000 0.500 0.000 1
Te3 Te 0.500 0.000 0.000 1
Te4 Te 0.500 0.500 0.500 1
Pd1 Pd 0.250 0.250 0.250 1
Pd2 Pd 0.250 0.750 0.750 1
Pd3 Pd 0.750 0.250 0.750 1
Pd4 Pd 0.750 0.750 0.250 1
```

Properties
symmetry: No. 216
ΔE to the lowest computed polymorph: 0.0 kJ/mol of atoms


[7]
The following is a PBE calculation of LiTe2Pd2 after structural relaxation, from the Open Quantum Materials Database.

```
data_LiTe2Pd2
_cell_length_a 4.280
_cell_length_b 4.280
_cell_length_c 12.825
_cell_angle_alpha 90.00
_cell_angle_beta 90.00
_cell_angle_gamma 90.00
_space_group_name_H-M_alt 'P 1'
_space_group_IT_number 1
loop_
_space_group_symop_operation_xyz
'x,y,z'
loop_
_atom_site_label
_atom_site_type_symbol
_atom_site_fract_x
_atom_site_fract_y
_atom_site_fract_z
_atom_site_occupancy
Li1 Li 0.000 0.000 0.000 1
Li2 Li 0.500 0.500 0.500 1
Te1 Te 0.000 0.000 0.378 1
Te2 Te 0.000 0.000 0.622 1
Te3 Te 0.500 0.500 0.122 1
Te4 Te 0.500 0.500 0.878 1
Pd1 Pd 0.000 0.500 0.250 1
Pd2 Pd 0.000 0.500 0.750 1
Pd3 Pd 0.500 0.000 0.250 1
Pd4 Pd 0.500 0.000 0.750 1
```

Properties
symmetry: No. 139
electronic total energy: -4.072 eV per atom


[8]
The following is a PBE calculation of LiTlTe3Pd after structural relaxation, from the Open Quantum Materials Database.

```
data_LiTlTe3Pd
_cell_length_a 7.058
_cell_length_b 7.058
_cell_length_c 11.167
_cell_angle_alpha 90.00
_cell_angle_beta 90.00
_cell_angle_gamma 145.29
_space_group_name_H-M_alt 'P 1'
_space_group_IT_number 1
loop_
_space_group_symop_operation_xyz
'x,y,z'
loop_
_atom_site_label
_atom_site_type_symbol
_atom_site_fract_x
_atom_site_fract_y
_atom_site_fract_z
_atom_site_occupancy
Li1 Li 0.053 0.947 0.750 1
Li2 Li 0.947 0.053 0.250 1
Tl1 Tl 0.260 0.740 0.250 1
Tl2 Tl 0.740 0.260 0.750 1
Te1 Te 0.127 0.873 0.516 1
Te2 Te 0.127 0.873 0.984 1
Te3 Te 0.427 0.573 0.750 1
Te4 Te 0.573 0.427 0.250 1
Te5 Te 0.873 0.127 0.016 1
Te6 Te 0.873 0.127 0.484 1
Pd1 Pd 0.500 0.500 0.000 1
Pd2 Pd 0.500 0.500 0.500 1
```

Properties
symmetry: No. 63
electronic total energy: -3.530 eV per atom